# 1
# TbY3Ir3, optimized geometry, DFT GGA-PBE
# Formation energy from the elements ... -0.70 eV per atom
# M_tot ... 0.000 μB per formula unit
# Raw total energy ... -166.6 eV for the cell shown
data_TbY3Ir3
_symmetry_space_group_name_H-M 'R -3 m'
_symmetry_Int_Tables_number 166
_symmetry_space_group_name_Hall '-R 3 2"'
_cell_length_a 9.6893
_cell_length_b 9.6893
_cell_length_c 5.9446
_cell_angle_alpha 90.00
_cell_angle_beta 90.00
_cell_angle_gamma 120.00
loop_
_atom_site_label
_atom_site_fract_x
_atom_site_fract_y
_atom_site_fract_z
Tb1 0.0000 0.0000 0.0000
Y1 0.0000 0.5000 0.0000
Ir1 0.0000 0.5000 0.5000



# 2
# TbY4Ir5, optimized geometry, DFT GGA-PBE
# Formation energy from the elements ... -0.77 eV per atom
# M_tot ... 0.000 μB per formula unit
# Raw total energy ... -82.5 eV for the cell shown
data_TbY4Ir5
_symmetry_space_group_name_H-M 'P 4/m m m'
_symmetry_Int_Tables_number 123
_symmetry_space_group_name_Hall '-P 4 2'
_cell_length_a 3.363
_cell_length_b 3.363
_cell_length_c 17.915
_cell_angle_alpha 90.00
_cell_angle_beta 90.00
_cell_angle_gamma 90.00
loop_
_atom_site_label
_atom_site_fract_x
_atom_site_fract_y
_atom_site_fract_z
Tb1 0.000 0.000 0.000
Y1 0.000 0.000 0.200
Y2 0.000 0.000 0.400
Ir1 0.500 0.500 0.100
Ir2 0.500 0.500 0.300
Ir3 0.500 0.500 0.500



# 3
# Tb2YIr, optimized geometry, DFT GGA-PBE
# Formation energy from the elements ... -0.12 eV per atom
# M_tot ... 0.784 μB per formula unit
# Raw total energy ... -75.2 eV for the cell shown
data_Tb2YIr
_symmetry_space_group_name_H-M 'R -3 m'
_symmetry_Int_Tables_number 166
_symmetry_space_group_name_Hall '-R 3 2"'
_cell_length_a 3.7611
_cell_length_b 3.7611
_cell_length_c 31.4902
_cell_angle_alpha 90.00
_cell_angle_beta 90.00
_cell_angle_gamma 120.00
loop_
_atom_site_label
_atom_site_fract_x
_atom_site_fract_y
_atom_site_fract_z
Tb1 0.0000 0.0000 0.1133
Y1 0.0000 0.0000 0.0000
Ir1 0.0000 0.0000 0.5000



# 4
# Tb2YIr, optimized geometry, DFT GGA-PBE
# Formation energy from the elements ... -0.53 eV per atom
# M_tot ... 0.000 μB per formula unit
# Raw total energy ... -106.8 eV for the cell shown
data_Tb2YIr
_symmetry_space_group_name_H-M 'C m c m'
_symmetry_Int_Tables_number 63
_symmetry_space_group_name_Hall '-C 2c 2'
_cell_length_a 3.922
_cell_length_b 12.055
_cell_length_c 9.149
_cell_angle_alpha 90.00
_cell_angle_beta 90.00
_cell_angle_gamma 90.00
loop_
_atom_site_label
_atom_site_fract_x
_atom_site_fract_y
_atom_site_fract_z
Tb1 0.000 0.141 0.066
Y1 0.000 0.426 0.250
Ir1 0.000 0.250 0.750